[1]
Compound: As2RhPbBr
Source: Alexandria
Functional: PBE
Structure: relaxed

The space group is P4/mmm (No. 123) and the conventional cell measures 4.770, 4.770 and 5.580 Å, with angles of 90.00, 90.00 and 90.00 degrees. The distinct sites, in fractional coordinates, are As at (0.000, 0.500, 0.000), Rh at (0.000, 0.000, 0.000), Pb at (0.500, 0.500, 0.500) and Br at (0.000, 0.000, 0.500).

The electronic total energy is -4.24 eV/atom. The formation energy without anion corrections comes out at 161 meV per atom. For the total magnetization, the calculation gives 0.0 μB per formula unit. As for the density of states at the Fermi level: 3.87 states/eV/cell.

[2]
Compound: AsRuPbBr2
Source: Alexandria
Functional: PBE
Structure: relaxed

The space group is P4/mmm (No. 123) and the conventional cell measures 5.235, 5.235 and 4.729 Å, with angles of 90.00, 90.00 and 90.00 degrees. The distinct sites, in fractional coordinates, are As at (0.000, 0.000, 0.000), Ru at (0.000, 0.000, 0.500), Pb at (0.500, 0.500, 0.000) and Br at (0.000, 0.500, 0.500).

The electronic total energy is -4.05 eV/atom. The formation energy without anion corrections comes out at 149 meV per atom. For the total magnetization, the calculation gives 0.0 μB per formula unit. As for the density of states at the Fermi level: 4.04 states/eV/cell.

[3]
Compound: AsRuPbBr2
Source: Alexandria
Functional: PBE
Structure: relaxed

The space group is P4/mmm (No. 123) and the conventional cell measures 5.713, 5.713 and 5.629 Å, with angles of 90.00, 90.00 and 90.00 degrees. The distinct sites, in fractional coordinates, are As at (0.000, 0.000, 0.000), Ru at (0.500, 0.500, 0.000), Pb at (0.000, 0.000, 0.500) and Br at (0.000, 0.500, 0.500).

The electronic total energy is -3.10 eV/atom. The formation energy without anion corrections comes out at 1100 meV per atom. For the total magnetization, the calculation gives 4.6 μB per formula unit. As for the density of states at the Fermi level: 4.02 states/eV/cell.

[4]
Compound: AsRu2PbBr
Source: Alexandria
Functional: PBE
Structure: relaxed

The space group is P4/mmm (No. 123) and the conventional cell measures 4.597, 4.597 and 5.859 Å, with angles of 90.00, 90.00 and 90.00 degrees. The distinct sites, in fractional coordinates, are As at (0.000, 0.000, 0.000), Ru at (0.000, 0.500, 0.000), Pb at (0.500, 0.500, 0.500) and Br at (0.000, 0.000, 0.500).

The electronic total energy is -4.94 eV/atom. The formation energy without anion corrections comes out at 775 meV per atom. For the total magnetization, the calculation gives 1.9 μB per formula unit. As for the density of states at the Fermi level: 5.63 states/eV/cell.